[1]
This record from the Alexandria database describes a geometry-optimized Ba2Pm2Mg15 structure. The functional is GGA-PBE.

As for the formation energy: -39 meV/atom.

The space group is R-3m (No. 166, hexagonal axes) and the conventional cell measures 10.8460, 10.8460 and 15.8834 Å, with angles of 90.00, 90.00 and 120.00 degrees. The distinct sites, in fractional coordinates, are Ba at (0.0000, 0.0000, 0.1601), Pm at (0.0000, 0.0000, 0.4065), Mg at (0.0000, 0.2911, 0.5000), Mg at (0.0000, 0.5000, 0.0000) and Mg at (0.0012, 0.5006, 0.6501).

[2]
This record from the Alexandria database describes a geometry-optimized BaPm2Mg9 structure. The functional is GGA-PBE.

As for the formation energy: -75 meV/atom.

The space group is R-3m (No. 166, hexagonal axes) and the conventional cell measures 6.1964, 6.1964 and 30.4301 Å, with angles of 90.00, 90.00 and 120.00 degrees. The distinct sites, in fractional coordinates, are Ba at (0.0000, 0.0000, 0.0000), Pm at (0.0000, 0.0000, 0.1498), Mg at (0.0000, 0.0000, 0.3342), Mg at (0.0000, 0.0000, 0.5000) and Mg at (0.0040, 0.5020, 0.9143).

[3]
This record from the Alexandria database describes a geometry-optimized Ba4PrMg5 structure. The functional is GGA-PBE.

As for the formation energy: -56 meV/atom.

The space group is P4/mmm (No. 123) and the conventional cell measures 4.217, 4.217 and 21.821 Å, with angles of 90.00, 90.00 and 90.00 degrees. The distinct sites, in fractional coordinates, are Ba at (0.000, 0.000, 0.104), Ba at (0.000, 0.000, 0.314), Pr at (0.000, 0.000, 0.500), Mg at (0.500, 0.500, 0.000), Mg at (0.500, 0.500, 0.209) and Mg at (0.500, 0.500, 0.422).

[4]
This record from the Alexandria database describes a geometry-optimized BaPrMg4 structure. The functional is GGA-PBE.

As for the formation energy: -57 meV/atom.

The space group is F-43m (No. 216) and the conventional cell measures 9.008, 9.008 and 9.008 Å, with angles of 90.00, 90.00 and 90.00 degrees. The distinct sites, in fractional coordinates, are Ba at (0.000, 0.000, 0.000), Pr at (0.250, 0.250, 0.750) and Mg at (0.123, 0.123, 0.377).

[5]
This record from the Alexandria database describes a geometry-optimized BaPrMg structure. The functional is GGA-PBE.

As for the energy relative to the lowest polymorph listed for this composition: 0.0 kJ/mol of formula units. As for the formation energy: 18 meV/atom.

The space group is I4/mmm (No. 139) and the conventional cell measures 4.042, 4.042 and 30.042 Å, with angles of 90.00, 90.00 and 90.00 degrees. The distinct sites, in fractional coordinates, are Ba at (0.000, 0.000, 0.071), Pr at (0.000, 0.000, 0.212) and Mg at (0.000, 0.000, 0.349).

[6]
This record from the Alexandria database describes a geometry-optimized BaPrMg structure. The functional is GGA-PBE.

As for the energy relative to the lowest polymorph listed for this composition: 4.8 kJ/mol of formula units. As for the formation energy: 34 meV/atom.

The space group is I4mm (No. 107) and the conventional cell measures 4.090, 4.090 and 14.097 Å, with angles of 90.00, 90.00 and 90.00 degrees. The distinct sites, in fractional coordinates, are Ba at (0.000, 0.000, 0.000), Pr at (0.000, 0.000, 0.288) and Mg at (0.000, 0.000, 0.667).

[7]
This record from the Alexandria database describes a geometry-optimized Ba3Pr12Mg5 structure. The functional is GGA-PBE.

As for the formation energy: 794 meV/atom.

The space group is Ia-3d (No. 230) and the conventional cell measures 19.297, 19.297 and 19.297 Å, with angles of 90.00, 90.00 and 90.00 degrees. The distinct sites, in fractional coordinates, are Ba at (0.000, 0.250, 0.125), Pr at (0.025, 0.070, 0.640), Mg at (0.000, 0.000, 0.000) and Mg at (0.000, 0.250, 0.375).

[8]
This record from the Alexandria database describes a geometry-optimized Ba2PrMg structure. The functional is GGA-PBE.

As for the energy relative to the lowest polymorph listed for this composition: 0.0 kJ/mol of formula units. As for the formation energy: 120 meV/atom.

The space group is P4/mmm (No. 123) and the conventional cell measures 4.080, 4.080 and 10.544 Å, with angles of 90.00, 90.00 and 90.00 degrees. The distinct sites, in fractional coordinates, are Ba at (0.000, 0.000, 0.226), Pr at (0.500, 0.500, 0.500) and Mg at (0.500, 0.500, 0.000).

[9]
This record from the Alexandria database describes a geometry-optimized BaPr3Mg4 structure. The functional is GGA-PBE.

As for the formation energy: -61 meV/atom.

The space group is Pmmm (No. 47) and the conventional cell measures 3.987, 5.683 and 11.380 Å, with angles of 90.00, 90.00 and 90.00 degrees. The distinct sites, in fractional coordinates, are Ba at (0.000, 0.000, 0.000), Pr at (0.000, 0.000, 0.500), Pr at (0.000, 0.500, 0.257), Mg at (0.500, 0.000, 0.265), Mg at (0.500, 0.500, 0.000) and Mg at (0.500, 0.500, 0.500).

[10]
This record from the Alexandria database describes a geometry-optimized Ba2PrMg structure. The functional is GGA-PBE.

As for the energy relative to the lowest polymorph listed for this composition: 73.0 kJ/mol of formula units. As for the formation energy: 309 meV/atom.

The space group is R-3m (No. 166, hexagonal axes) and the conventional cell measures 3.8573, 3.8573 and 40.4213 Å, with angles of 90.00, 90.00 and 120.00 degrees. The distinct sites, in fractional coordinates, are Ba at (0.0000, 0.0000, 0.0924), Pr at (0.0000, 0.0000, 0.0000) and Mg at (0.0000, 0.0000, 0.5000).

[11]
This record from the Alexandria database describes a geometry-optimized BaPrMg10 structure. The functional is GGA-PBE.

As for the formation energy: -56 meV/atom.

The space group is Pmmm (No. 47) and the conventional cell measures 5.039, 6.143 and 10.654 Å, with angles of 90.00, 90.00 and 90.00 degrees. The distinct sites, in fractional coordinates, are Ba at (0.000, 0.000, 0.000), Pr at (0.000, 0.500, 0.500), Mg at (0.000, 0.000, 0.342), Mg at (0.000, 0.500, 0.177), Mg at (0.500, 0.000, 0.500), Mg at (0.500, 0.255, 0.261) and Mg at (0.500, 0.500, 0.000).

[12]
This record from the Alexandria database describes a geometry-optimized BaPr2Mg9 structure. The functional is GGA-PBE.

As for the formation energy: -82 meV/atom.

The space group is R-3m (No. 166, hexagonal axes) and the conventional cell measures 6.2159, 6.2159 and 30.5992 Å, with angles of 90.00, 90.00 and 120.00 degrees. The distinct sites, in fractional coordinates, are Ba at (0.0000, 0.0000, 0.0000), Pr at (0.0000, 0.0000, 0.1499), Mg at (0.0000, 0.0000, 0.3342), Mg at (0.0000, 0.0000, 0.5000) and Mg at (0.0031, 0.5016, 0.9149).

[13]
This record from the Alexandria database describes a geometry-optimized BaPrMg structure. The functional is GGA-PBE.

As for the energy relative to the lowest polymorph listed for this composition: 38.2 kJ/mol of formula units. As for the formation energy: 150 meV/atom.

The space group is P3m1 (No. 156) and the conventional cell measures 5.9004, 5.9004 and 3.6895 Å, with angles of 90.00, 90.00 and 120.00 degrees. The distinct sites, in fractional coordinates, are Ba at (0.0000, 0.0000, 0.0000), Pr at (0.3333, 0.6667, 0.6196) and Mg at (0.6667, 0.3333, 0.3366).

[14]
This record from the Alexandria database describes a geometry-optimized BaPr4Mg5 structure. The functional is GGA-PBE.

As for the formation energy: -94 meV/atom.

The space group is P4/mmm (No. 123) and the conventional cell measures 3.964, 3.964 and 20.327 Å, with angles of 90.00, 90.00 and 90.00 degrees. The distinct sites, in fractional coordinates, are Ba at (0.000, 0.000, 0.000), Pr at (0.000, 0.000, 0.217), Pr at (0.000, 0.000, 0.405), Mg at (0.500, 0.500, 0.122), Mg at (0.500, 0.500, 0.310) and Mg at (0.500, 0.500, 0.500).

[15]
This record from the Alexandria database describes a geometry-optimized BaPr2Mg3 structure. The functional is GGA-PBE.

As for the formation energy: -79 meV/atom.

The space group is P4/mmm (No. 123) and the conventional cell measures 3.990, 3.990 and 12.553 Å, with angles of 90.00, 90.00 and 90.00 degrees. The distinct sites, in fractional coordinates, are Ba at (0.000, 0.000, 0.000), Pr at (0.000, 0.000, 0.350), Mg at (0.500, 0.500, 0.197) and Mg at (0.500, 0.500, 0.500).

[16]
This record from the Alexandria database describes a geometry-optimized BaPrMgSn structure. The functional is GGA-PBE.

As for the formation energy: -324 meV/atom.

The space group is F-43m (No. 216) and the conventional cell measures 8.113, 8.113 and 8.113 Å, with angles of 90.00, 90.00 and 90.00 degrees. The distinct sites, in fractional coordinates, are Ba at (0.000, 0.000, 0.000), Pr at (0.000, 0.000, 0.500), Mg at (0.250, 0.250, 0.250) and Sn at (0.250, 0.250, 0.750).

[17]
This record from the Alexandria database describes a geometry-optimized BaPrMg2Sn2 structure. The functional is GGA-PBE.

As for the formation energy: -534 meV/atom.

The space group is P-3m1 (No. 164) and the conventional cell measures 5.0455, 5.0455 and 8.3470 Å, with angles of 90.00, 90.00 and 120.00 degrees. The distinct sites, in fractional coordinates, are Ba at (0.0000, 0.0000, 0.0000), Pr at (0.0000, 0.0000, 0.5000), Mg at (0.3333, 0.6667, 0.6915) and Sn at (0.3333, 0.6667, 0.2757).

[18]
This record from the Alexandria database describes a geometry-optimized BaSrPrMg structure. The functional is GGA-PBE.

As for the formation energy: 146 meV/atom.

The space group is F-43m (No. 216) and the conventional cell measures 8.699, 8.699 and 8.699 Å, with angles of 90.00, 90.00 and 90.00 degrees. The distinct sites, in fractional coordinates, are Ba at (0.000, 0.000, 0.000), Sr at (0.250, 0.250, 0.250), Pr at (0.000, 0.000, 0.500) and Mg at (0.250, 0.250, 0.750).

[19]
This record from the Alexandria database describes a geometry-optimized Ba3Pr3MgTe8 structure. The functional is GGA-PBE.

As for the uncorrected formation energy: -1.46 eV per atom.

The space group is R-3m (No. 166, hexagonal axes) and the conventional cell measures 9.2421, 9.2421 and 24.0967 Å, with angles of 90.00, 90.00 and 120.00 degrees. The distinct sites, in fractional coordinates, are Ba at (0.0000, 0.5000, 0.0000), Pr at (0.0000, 0.5000, 0.5000), Mg at (0.0000, 0.0000, 0.5000), Te at (0.0000, 0.0000, 0.2422) and Te at (0.0110, 0.5055, 0.2382).

[20]
This record from the Alexandria database describes a geometry-optimized BaPrMgTl structure. The functional is GGA-PBE.

As for the formation energy: -164 meV/atom.

The space group is F-43m (No. 216) and the conventional cell measures 8.212, 8.212 and 8.212 Å, with angles of 90.00, 90.00 and 90.00 degrees. The distinct sites, in fractional coordinates, are Ba at (0.000, 0.000, 0.000), Pr at (0.000, 0.000, 0.500), Mg at (0.250, 0.250, 0.750) and Tl at (0.250, 0.250, 0.250).